1.
An optimized crystal structure of SmAl12Cu4, computed with PBE.

Cell: 7.443 7.443 7.443 Å, 109.47 109.47 109.47°
Element x y z (fractional)
Sm1 0.000 0.000 0.000
Al1 0.835 0.342 0.177
Al2 0.342 0.508 0.165
Al3 0.823 0.165 0.658
Al4 0.342 0.177 0.835
Al5 0.177 0.835 0.342
Al6 0.658 0.492 0.835
Al7 0.508 0.165 0.342
Al8 0.492 0.835 0.658
Al9 0.658 0.823 0.165
Al10 0.835 0.658 0.492
Al11 0.165 0.342 0.508
Al12 0.165 0.658 0.823
Cu1 0.000 0.500 0.000
Cu2 0.500 0.000 0.000
Cu3 0.500 0.500 0.500
Cu4 0.000 0.000 0.500

Results
formation enthalpy at 0 K	54	meV/atom

=====

2.
An optimized crystal structure of TcSn2HPd, computed with PBE.

Cell: 5.188 3.437 5.188 Å, 90.00 90.00 90.00°
Each line ends with the local moment (μB).
Element x y z (fractional)
H1 0.000 0.500 0.000  -0.01
Sn1 0.000 0.000 0.500  0.01
Sn2 0.500 0.000 0.000  -0.02
Pd1 0.500 0.500 0.500  0.04
Tc1 0.000 0.000 0.000  0.67

=====

3.
An optimized crystal structure of MnReBr2, computed with PBE.

Cell: 4.456 4.456 4.456 Å, 60.00 60.00 60.00°
Element x y z (fractional)
Re1 0.500 0.500 0.500
Mn1 0.000 0.000 0.000
Br1 0.250 0.250 0.250
Br2 0.750 0.750 0.750

Results
distance to the lowest polymorph of the same formula	4.97	eV per formula unit

=====

4.
An optimized crystal structure of NaAg2TeS4, computed with PBE.

Cell: 7.488 7.488 8.737 Å, 119.83 119.83 88.49°
Element x y z (fractional)
Na1 0.000 0.500 0.000
Na2 0.000 0.500 0.500
Ag1 0.500 0.000 0.000
Ag2 0.500 0.000 0.500
Ag3 0.000 0.000 0.500
Ag4 0.500 0.500 0.000
Te1 0.500 0.500 0.500
Te2 0.000 0.000 0.000
S1 0.251 0.749 0.963
S2 0.751 0.249 0.537
S3 0.249 0.751 0.463
S4 0.749 0.251 0.037
S5 0.806 0.842 0.111
S6 0.658 0.694 0.389
S7 0.342 0.306 0.611
S8 0.194 0.158 0.889

=====

| no. | size of the total moment (μB per formula unit) | E_tot (Ry per atom) | calculated density (g cm⁻³) |
| --- | --- | --- | --- |
| 1 | 0.0 | -0.281 | 3.81 |
| 2 | 0.8 | -0.370 | 7.95 |
| 3 | 0.0 | -0.352 | 10.65 |
| 4 | 0.0 | -0.253 | 4.66 |